# Ca4MgZn, optimized geometry, DFT GGA-PBE
data_Ca4MgZn
_chemical_formula_sum 'Ca4 Mg1 Zn1'
_space_group_name_H-M_alt 'P 1'
_space_group_IT_number 1
_cell_length_a 5.317
_cell_length_b 5.318
_cell_length_c 7.877
_cell_angle_alpha 89.94
_cell_angle_beta 89.95
_cell_angle_gamma 89.99
loop_
_space_group_symop_operation_xyz
'x,y,z'
loop_
_atom_site_label
_atom_site_type_symbol
_atom_site_fract_x
_atom_site_fract_y
_atom_site_fract_z
_atom_site_occupancy
Ca1 Ca 0.501 0.997 0.267 1
Ca2 Ca 0.501 0.998 0.730 1
Ca3 Ca 0.002 0.497 0.730 1
Ca4 Ca 0.001 0.497 0.267 1
Mg1 Mg 0.501 0.497 0.998 1
Zn1 Zn 0.001 0.997 0.498 1
# * polymorph energy (0 for the lowest one): 0.192 eV per atom
# * energy of formation: 0.50 eV/f.u.
# * density of states at the Fermi level: 7.908 states/eV/f.u.